Entry 1:
DFT (PBE-GGA) results for a geometry-optimized Sc3AgO structure.

Output
* raw total energy: -66.7 eV/cell
* symmetry: No. 63
* distance to the lowest polymorph of the same formula: 0.28 eV per formula unit
* M_tot: 0.0048 μB per atom

a b c (Å): 6.1198 6.1198 8.7947
angles (deg): 90.00 90.00 148.31
Last column: nearest neighbours and their distance in Å.
Fractional positions:
Sc1 0.9543 0.0457 0.2500  2 O 2.26
Sc2 0.0457 0.9543 0.7500  2 O 2.26
Sc3 0.3758 0.6242 0.9482  2 O 2.27
Sc4 0.6242 0.3758 0.0518  2 O 2.27
Sc5 0.6242 0.3758 0.4482  2 O 2.27
Sc6 0.3758 0.6242 0.5518  2 O 2.27
Ag1 0.2528 0.7472 0.2500  8 Sc 2.85-3.02
Ag2 0.7472 0.2528 0.7500  8 Sc 2.85-3.02
O1 0.0000 0.0000 0.0000  6 Sc 2.26-2.27
O2 0.0000 0.0000 0.5000  6 Sc 2.26-2.27



Entry 2:
DFT (PBE-GGA) results for a geometry-optimized Al2Hg2O5 structure.

Output
* raw total energy: -46.5 eV/cell
* symmetry: No. 123

a b c (Å): 7.6961 3.6648 3.6648
angles (deg): 90.00 90.00 90.00
Last column: nearest neighbours and their distance in Å.
Fractional positions:
Al1 0.7365 0.5000 0.5000  5 O 1.82-1.87
Al2 0.2635 0.5000 0.5000  5 O 1.82-1.87
O1 0.2157 0.0000 0.5000  2 Al 1.87
O2 0.5000 0.5000 0.5000  2 Al 1.82
O3 0.2157 0.5000 0.0000  2 Al 1.87
O4 0.7843 0.5000 0.0000  2 Al 1.87
O5 0.7843 0.0000 0.5000  2 Al 1.87
Hg1 0.0000 0.0000 0.0000  8 O 2.47
Hg2 0.5000 0.0000 0.0000  12 O 2.59-2.85



Entry 3:
DFT (PBE-GGA) results for a geometry-optimized RbSnPd structure.

Output
* raw total energy: -9.6 eV/cell
* symmetry: No. 216
* distance to the lowest polymorph of the same formula: 1.72 eV per formula unit

a b c (Å): 5.0551 5.0551 5.0551
angles (deg): 60.00 60.00 60.00
Last column: nearest neighbours and their distance in Å.
Fractional positions:
Pd1 0.0000 0.0000 0.0000  4 Rb 3.10, 4 Sn 3.10
Rb1 0.7500 0.7500 0.7500  4 Pd 3.10
Sn1 0.2500 0.2500 0.2500  4 Pd 3.10



Entry 4:
DFT (PBE-GGA) results for a geometry-optimized HfMgZr2 structure.

Output
* raw total energy: -27.9 eV/cell
* symmetry: No. 216
* M_tot: 0.0580 μB per atom

a b c (Å): 4.9902 4.9902 4.9902
angles (deg): 60.00 60.00 60.00
Last column: nearest neighbours and their distance in Å.
Fractional positions:
Zr1 0.2500 0.2500 0.2500  4 Hf 3.06, 4 Zr 3.06
Zr2 0.0000 0.0000 0.0000  4 Mg 3.06, 4 Zr 3.06
Hf1 0.5000 0.5000 0.5000  4 Mg 3.06, 4 Zr 3.06
Mg1 0.7500 0.7500 0.7500  4 Hf 3.06, 4 Zr 3.06



Entry 5:
DFT (PBE-GGA) results for a geometry-optimized NaScPdSe3 structure.

Output
* raw total energy: -58.8 eV/cell
* symmetry: No. 63
* distance to the lowest polymorph of the same formula: 0.05 eV per formula unit
* M_tot: 0.0008 μB per atom

a b c (Å): 7.5142 7.5142 9.7695
angles (deg): 90.00 90.00 150.21
Last column: nearest neighbours and their distance in Å.
Fractional positions:
Se1 0.6276 0.3724 0.5615  1 Pd 2.48, 2 Sc 2.74
Se2 0.9026 0.0974 0.7500  2 Pd 2.51
Se3 0.3724 0.6276 0.0615  1 Pd 2.48, 2 Sc 2.74
Se4 0.6276 0.3724 0.9385  1 Pd 2.48, 2 Sc 2.74
Se5 0.3724 0.6276 0.4385  1 Pd 2.48, 2 Sc 2.74
Se6 0.0974 0.9026 0.2500  2 Pd 2.51
Na1 0.7680 0.2320 0.2500  6 Se 3.07-3.14
Na2 0.2320 0.7680 0.7500  6 Se 3.07-3.14
Sc1 0.0000 0.0000 0.0000  6 Se 2.74-2.82
Sc2 0.0000 0.0000 0.5000  6 Se 2.74-2.82
Pd1 0.5134 0.4866 0.7500  4 Se 2.48-2.51
Pd2 0.4866 0.5134 0.2500  4 Se 2.48-2.51



Entry 6:
DFT (PBE-GGA) results for a geometry-optimized Zr4FeNiN2 structure.

Output
* raw total energy: -71.1 eV/cell
* symmetry: No. 187
* M_tot: 0.1161 μB per atom

a b c (Å): 3.2442 3.2442 13.1274
angles (deg): 90.00 90.00 120.00
Last column: nearest neighbours and their distance in Å.
Fractional positions:
Zr1 0.0000 0.0000 0.6462  3 N 2.30
Zr2 0.6667 0.3333 0.1485  3 N 2.31
Zr3 0.0000 0.0000 0.3538  3 N 2.30
Zr4 0.6667 0.3333 0.8515  3 N 2.31
N1 0.3333 0.6667 0.2520  6 Zr 2.30-2.31
N2 0.3333 0.6667 0.7480  6 Zr 2.30-2.31
Fe1 0.0000 0.0000 0.0000  6 Zr 2.70
Ni1 0.6667 0.3333 0.5000  6 Zr 2.68



Entry 7:
DFT (PBE-GGA) results for a geometry-optimized CuSi2B structure.

Output
* raw total energy: -17.6 eV/cell
* symmetry: No. 216

a b c (Å): 4.1000 4.1000 4.1000
angles (deg): 60.00 60.00 60.00
Last column: nearest neighbours and their distance in Å.
Fractional positions:
Si1 0.7500 0.7500 0.7500  4 B 2.51, 4 Si 2.51
Si2 0.0000 0.0000 0.0000  4 Cu 2.51, 4 Si 2.51
Cu1 0.2500 0.2500 0.2500  4 Si 2.51, 4 B 2.51
B1 0.5000 0.5000 0.5000  4 Si 2.51, 4 Cu 2.51



Entry 8:
DFT (PBE-GGA) results for a geometry-optimized Sc3PdS structure.

Output
* raw total energy: -67.7 eV/cell
* symmetry: No. 63
* M_tot: 0.0009 μB per atom

a b c (Å): 6.1756 6.1756 9.5477
angles (deg): 90.00 90.00 146.66
Last column: nearest neighbours and their distance in Å.
Fractional positions:
Sc1 0.3542 0.6458 0.9269  2 S 2.57, 2 Pd 2.76
Sc2 0.6458 0.3542 0.0731  2 S 2.57, 2 Pd 2.76
Sc3 0.9285 0.0715 0.2500  2 S 2.53, 2 Pd 2.73
Sc4 0.3542 0.6458 0.5731  2 S 2.57, 2 Pd 2.76
Sc5 0.6458 0.3542 0.4269  2 S 2.57, 2 Pd 2.76
Sc6 0.0715 0.9285 0.7500  2 S 2.53, 2 Pd 2.73
S1 0.0000 0.0000 0.0000  6 Sc 2.53-2.57
S2 0.0000 0.0000 0.5000  6 Sc 2.53-2.57
Pd1 0.7469 0.2531 0.7500  6 Sc 2.73-2.76
Pd2 0.2531 0.7469 0.2500  6 Sc 2.73-2.76



Entry 9:
DFT (PBE-GGA) results for a geometry-optimized LuCdHgAu structure.

Output
* ΔE_f: -335 meV per atom
* raw total energy: -10.3 eV/cell
* symmetry: No. 216
* distance to the lowest polymorph of the same formula: 0.61 eV per formula unit
* M_tot: 0.0003 μB per atom

a b c (Å): 4.9279 4.9279 4.9279
angles (deg): 60.00 60.00 60.00
Last column: nearest neighbours and their distance in Å.
Fractional positions:
Cd1 0.5000 0.5000 0.5000  4 Lu 3.02, 4 Au 3.02
Lu1 0.2500 0.2500 0.2500  4 Hg 3.02, 4 Cd 3.02
Au1 0.7500 0.7500 0.7500  4 Cd 3.02, 4 Hg 3.02
Hg1 0.0000 0.0000 0.0000  4 Lu 3.02, 4 Au 3.02